## Sr3Co (PBE-GGA)

Data for a geometry-optimized Sr3Co structure.

abc: 7.3281 7.3281 7.3281
angles: 149.07 130.52 59.50
Positions (direct):
Sr1 0.0000 0.0000 0.0000
Sr2 0.3238 0.8238 0.5000
Sr3 0.6762 0.1762 0.5000
Co1 0.5000 0.5000 0.0000

## Properties
- SG: No. 71
- Energy of formation from the pure elements: 0.365 eV per atom


## SrCo4 (PBE-GGA)

Data for a geometry-optimized SrCo4 structure.

abc: 5.3809 5.3809 5.3809
angles: 93.63 93.63 150.84
Positions (direct):
Sr1 0.0000 0.0000 0.0000
Co1 0.1413 0.3634 0.5047
Co2 0.3634 0.8587 0.2221
Co3 0.6366 0.1413 0.7779
Co4 0.8587 0.6366 0.4953

## Properties
- SG: No. 87
- Energy of formation from the pure elements: 0.431 eV per atom
- Relative energy among the computed polymorphs: 0 meV per atom